(1)
The following is a GGA-PBE calculation of an optimized crystal structure of UCo3B, from the Alexandria database.

Lattice parameters (Å, degrees): 5.9499 7.8145 5.2949 90.00 90.00 90.00
Space group Imma (No. 74)
Symmetry-distinct sites (fractional):
1 U 0.0000 0.2500 0.0006
2 Co 0.0000 0.2500 0.5005
3 Co 0.2500 0.9997 0.2500
4 B 0.0000 0.0000 0.5000

**Total moment**: 0.31 μB/atom
**DOS(E_F)**: 6.620 states/eV/f.u.
**Calculated density**: 11.48 g/cm3
**Energy of formation**: -0.198 eV per atom
**Energy**: -8.054 eV/atom

(2)
The following is a GGA-PBE calculation of an optimized crystal structure of CeYCo, from the Alexandria database.

Lattice parameters (Å, degrees): 6.6497 6.6497 6.6497 90.00 90.00 90.00
Space group F-43m (No. 216)
Symmetry-distinct sites (fractional):
1 Ce 0.0000 0.0000 0.0000
2 Y 0.0000 0.0000 0.5000
3 Co 0.2500 0.2500 0.7500

**Total moment**: 0.24 μB/atom
**DOS(E_F)**: 6.714 states/eV/f.u.
**Calculated density**: 6.50 g/cm3
**Energy of formation**: 0.035 eV per atom
**Energy**: -6.467 eV/atom
**Distance to the lowest polymorph of the same formula**: 0.2109 eV/atom

(3)
The following is a GGA-PBE calculation of an optimized crystal structure of Nd3SmRh4, from the Alexandria database.

Lattice parameters (Å, degrees): 3.5813 3.5813 13.7373 90.00 90.00 90.00
Space group P4/mmm (No. 123)
Symmetry-distinct sites (fractional):
1 Nd 0.0000 0.0000 0.0000
2 Nd 0.0000 0.0000 0.2513
3 Sm 0.0000 0.0000 0.5000
4 Rh 0.5000 0.5000 0.1256
5 Rh 0.5000 0.5000 0.3779

**Total moment**: 0.00 μB/atom
**DOS(E_F)**: 6.012 states/eV/f.u.
**Calculated density**: 9.37 g/cm3
**Energy of formation**: -0.648 eV per atom
**Energy**: -6.701 eV/atom

(4)
The following is a GGA-PBE calculation of an optimized crystal structure of YErGeRu, from the Alexandria database.

Lattice parameters (Å, degrees): 6.9465 6.9465 6.9465 90.00 90.00 90.00
Space group F-43m (No. 216)
Symmetry-distinct sites (fractional):
1 Y 0.0000 0.0000 0.0000
2 Er 0.0000 0.0000 0.5000
3 Ge 0.2500 0.2500 0.2500
4 Ru 0.2500 0.2500 0.7500

**Total moment**: 0.00 μB/atom
**DOS(E_F)**: 2.239 states/eV/f.u.
**Calculated density**: 8.52 g/cm3
**Energy of formation**: -0.493 eV per atom
**Energy**: -6.724 eV/atom
**Distance to the lowest polymorph of the same formula**: 0.1472 eV/atom

(5)
The following is a GGA-PBE calculation of an optimized crystal structure of PrGdDy2, from the Alexandria database.

Lattice parameters (Å, degrees): 3.5983 3.5983 35.1181 90.00 90.00 120.00
Space group R-3m (No. 166, hexagonal axes)
Symmetry-distinct sites (fractional):
1 Pr 0.0000 0.0000 0.0000
2 Gd 0.0000 0.0000 0.5000
3 Dy 0.0000 0.0000 0.2492

**Total moment**: 1.83 μB/atom
**DOS(E_F)**: 5.767 states/eV/f.u.
**Calculated density**: 7.88 g/cm3
**Energy of formation**: 0.022 eV per atom
**Energy**: -6.994 eV/atom
**Distance to the lowest polymorph of the same formula**: 0.0055 eV/atom

(6)
The following is a GGA-PBE calculation of an optimized crystal structure of Rb2BeB, from the Alexandria database.

Lattice parameters (Å, degrees): 8.1377 8.1377 8.1377 90.00 90.00 90.00
Space group Fm-3m (No. 225)
Symmetry-distinct sites (fractional):
1 Rb 0.2500 0.2500 0.2500
2 Be 0.0000 0.0000 0.0000
3 B 0.0000 0.0000 0.5000

**Total moment**: 0.59 μB/atom
**DOS(E_F)**: 3.677 states/eV/f.u.
**Calculated density**: 2.35 g/cm3
**Energy of formation**: 1.618 eV per atom
**Energy**: -1.467 eV/atom
**Distance to the lowest polymorph of the same formula**: 0.9868 eV/atom

(7)
The following is a GGA-PBE calculation of an optimized crystal structure of MnTeIr4, from the Alexandria database.

Lattice parameters (Å, degrees): 7.4452 7.4452 7.4452 90.00 90.00 90.00
Space group F-43m (No. 216)
Symmetry-distinct sites (fractional):
1 Mn 0.0000 0.0000 0.0000
2 Te 0.2500 0.2500 0.7500
3 Ir 0.1256 0.1256 0.3744

**Total moment**: 0.74 μB/atom
**DOS(E_F)**: 6.348 states/eV/f.u.
**Calculated density**: 15.31 g/cm3
**E_form (uncorrected)**: 452 meV/atom
**Energy**: -7.507 eV/atom

(8)
The following is a GGA-PBE calculation of an optimized crystal structure of CdTePd3, from the Alexandria database.

Lattice parameters (Å, degrees): 5.7943 4.2566 7.7143 90.00 99.04 90.00
Space group P2_1/m (No. 11)
Symmetry-distinct sites (fractional):
1 Cd 0.1782 0.2500 0.1169
2 Te 0.2471 0.7500 0.5808
3 Pd 0.0507 0.2500 0.7369
4 Pd 0.3426 0.7500 0.9299
5 Pd 0.4646 0.7500 0.3010

**Total moment**: 0.00 μB/atom
**DOS(E_F)**: 2.595 states/eV/f.u.
**Calculated density**: 9.88 g/cm3
**E_form (uncorrected)**: -342 meV/atom
**Energy**: -4.269 eV/atom
**Distance to the lowest polymorph of the same formula**: 0.0000 eV/atom

(9)
The following is a GGA-PBE calculation of an optimized crystal structure of NaZrNiW2, from the Alexandria database.

Lattice parameters (Å, degrees): 4.5793 4.5793 4.6024 90.00 90.00 90.00
Space group P4/mmm (No. 123)
Symmetry-distinct sites (fractional):
1 Na 0.0000 0.0000 0.0000
2 Zr 0.5000 0.5000 0.0000
3 Ni 0.0000 0.0000 0.5000
4 W 0.0000 0.5000 0.5000

**Total moment**: 0.00 μB/atom
**DOS(E_F)**: 5.420 states/eV/f.u.
**Calculated density**: 9.30 g/cm3
**Energy of formation**: 1.232 eV per atom
**Energy**: -7.079 eV/atom
**Distance to the lowest polymorph of the same formula**: 0.0000 eV/atom

(10)
The following is a GGA-PBE calculation of an optimized crystal structure of LiErTl2, from the Alexandria database.

Lattice parameters (Å, degrees): 3.5402 3.5402 28.8322 90.00 90.00 120.00
Space group R-3m (No. 166, hexagonal axes)
Symmetry-distinct sites (fractional):
1 Li 0.0000 0.0000 0.0000
2 Er 0.0000 0.0000 0.5000
3 Tl 0.0000 0.0000 0.2561

**Total moment**: 0.00 μB/atom
**DOS(E_F)**: 3.332 states/eV/f.u.
**Calculated density**: 9.28 g/cm3
**Energy of formation**: -0.124 eV per atom
**Energy**: -2.927 eV/atom
**Distance to the lowest polymorph of the same formula**: 0.1759 eV/atom

(11)
The following is a GGA-PBE calculation of an optimized crystal structure of BaMg3Mo, from the Alexandria database.

Lattice parameters (Å, degrees): 5.5956 5.5956 5.5956 90.00 90.00 90.00
Space group Pm-3m (No. 221)
Symmetry-distinct sites (fractional):
1 Ba 0.0000 0.0000 0.0000
2 Mg 0.0000 0.0000 0.5000
3 Mo 0.5000 0.5000 0.5000

**Total moment**: 0.02 μB/atom
**DOS(E_F)**: 18.060 states/eV/f.u.
**Calculated density**: 2.90 g/cm3
**Energy of formation**: 2.281 eV per atom
**Energy**: -1.227 eV/atom
**Distance to the lowest polymorph of the same formula**: 1.7378 eV/atom

(12)
The following is a GGA-PBE calculation of an optimized crystal structure of Th8SnOs3Se4, from the Alexandria database.

Lattice parameters (Å, degrees): 8.4522 8.4522 21.7353 90.00 90.00 120.00
Space group R-3m (No. 166, hexagonal axes)
Symmetry-distinct sites (fractional):
1 Th 0.0000 0.0000 0.2389
2 Th 0.0226 0.5113 0.7585
3 Sn 0.0000 0.0000 0.5000
4 Os 0.0000 0.5000 0.5000
5 Se 0.0000 0.0000 0.0000
6 Se 0.0000 0.5000 0.0000

**Total moment**: 0.00 μB/atom
**DOS(E_F)**: 11.660 states/eV/f.u.
**Calculated density**: 10.60 g/cm3
**E_form (uncorrected)**: -957 meV/atom
**Energy**: -7.894 eV/atom

Question: What is the formula in the seventh record?
Answer: MnTeIr4